1.
# RbUCl6 (GGA-PBE, relaxed)
# * raw total energy: -4.697 eV/atom
# * size of the total moment: 1.0 μB per formula unit
# * uncorrected formation energy: -1.780 eV per atom
data_RbUCl6
_chemical_formula_sum 'Rb2 U2 Cl12'
_cell_length_a 8.233
_cell_length_b 10.796
_cell_length_c 6.617
_cell_angle_alpha 90.00
_cell_angle_beta 104.13
_cell_angle_gamma 90.00
_space_group_name_H-M_alt 'C 1 2/m 1'
_space_group_IT_number 12
loop_
_space_group_symop_operation_xyz
'x,y,z'
'-x,-y,-z'
'-x,y,-z'
'x,-y,z'
'x+1/2,y+1/2,z'
'-x+1/2,-y+1/2,-z'
'-x+1/2,y+1/2,-z'
'x+1/2,-y+1/2,z'
loop_
_atom_site_label
_atom_site_fract_x
_atom_site_fract_y
_atom_site_fract_z
Rb1 0.000 0.000 0.000
U1 0.000 0.500 0.500
Cl1 0.121 0.336 0.769
Cl2 0.226 0.000 0.611

2.
# RbUCl14 (GGA-PBE, relaxed)
# * raw total energy: -3.135 eV/atom
# * size of the total moment: 1.1 μB per formula unit
# * Fermi-level density of states: 0.753 states/eV per atom
# * uncorrected formation energy: -0.753 eV per atom
data_RbUCl14
_chemical_formula_sum 'Rb2 U2 Cl28'
_cell_length_a 9.971
_cell_length_b 13.162
_cell_length_c 8.403
_cell_angle_alpha 90.00
_cell_angle_beta 106.68
_cell_angle_gamma 90.00
_space_group_name_H-M_alt 'C 1 2 1'
_space_group_IT_number 5
loop_
_space_group_symop_operation_xyz
'x,y,z'
'-x,y,-z'
'x+1/2,y+1/2,z'
'-x+1/2,y+1/2,-z'
loop_
_atom_site_label
_atom_site_fract_x
_atom_site_fract_y
_atom_site_fract_z
Rb1 0.000 0.000 0.000
U1 0.000 0.633 0.000
Cl1 0.000 0.516 0.500
Cl2 0.000 0.994 0.500
Cl3 0.008 0.228 0.765
Cl4 0.073 0.722 0.279
Cl5 0.126 0.515 0.774
Cl6 0.173 0.220 0.418
Cl7 0.179 0.503 0.150
Cl8 0.216 0.737 0.989

3.
# Rb3UCl8 (GGA-PBE, relaxed)
# * raw total energy: -4.207 eV/atom
# * size of the total moment: 1.0 μB per formula unit
# * Fermi-level density of states: 0.080 states/eV per atom
# * uncorrected formation energy: -1.794 eV per atom
data_Rb3UCl8
_chemical_formula_sum 'Rb6 U2 Cl16'
_cell_length_a 10.0571
_cell_length_b 10.0571
_cell_length_c 9.1052
_cell_angle_alpha 90.00
_cell_angle_beta 90.00
_cell_angle_gamma 120.00
_space_group_name_H-M_alt 'P 63 m c'
_space_group_IT_number 186
_space_group_name_Hall 'P 6c -2c'
loop_
_atom_site_label
_atom_site_fract_x
_atom_site_fract_y
_atom_site_fract_z
Rb1 0.1526 0.3053 0.0000
U1 0.3333 0.6667 0.4272
Cl1 0.0000 0.0000 0.2603
Cl2 0.0498 0.5249 0.3393
Cl3 0.2169 0.4337 0.6043
Cl4 0.3333 0.6667 0.1141

4.
# RbUCl6 (GGA-PBE, relaxed)
# * raw total energy: -4.675 eV/atom
# * size of the total moment: 1.0 μB per formula unit
# * uncorrected formation energy: -1.758 eV per atom
data_RbUCl6
_chemical_formula_sum 'Rb3 U3 Cl18'
_cell_length_a 7.2234
_cell_length_b 7.2234
_cell_length_c 19.8979
_cell_angle_alpha 90.00
_cell_angle_beta 90.00
_cell_angle_gamma 120.00
_space_group_name_H-M_alt 'R -3 m'
_space_group_IT_number 166
_space_group_name_Hall '-R 3 2"'
loop_
_atom_site_label
_atom_site_fract_x
_atom_site_fract_y
_atom_site_fract_z
Rb1 0.0000 0.0000 0.0000
U1 0.0000 0.0000 0.5000
Cl1 0.0044 0.5022 0.0923

5.
# Rb6UCl12 (GGA-PBE, relaxed)
# * raw total energy: -3.779 eV/atom
# * size of the total moment: 1.7 μB per formula unit
# * Fermi-level density of states: 2.118 states/eV per atom
# * uncorrected formation energy: -1.713 eV per atom
data_Rb6UCl12
_chemical_formula_sum 'Rb18 U3 Cl36'
_cell_length_a 14.4868
_cell_length_b 14.4868
_cell_length_c 14.1119
_cell_angle_alpha 90.00
_cell_angle_beta 90.00
_cell_angle_gamma 120.00
_space_group_name_H-M_alt 'R -3'
_space_group_IT_number 148
_space_group_name_Hall '-R 3'
loop_
_atom_site_label
_atom_site_fract_x
_atom_site_fract_y
_atom_site_fract_z
Rb1 0.0153 0.7856 0.1240
U1 0.0000 0.0000 0.5000
Cl1 0.0135 0.7865 0.8944
Cl2 0.0129 0.8658 0.3976

6.
# Rb3UCl6 (GGA-PBE, relaxed)
# * raw total energy: -4.409 eV/atom
# * size of the total moment: 3.0 μB per formula unit
# * uncorrected formation energy: -1.882 eV per atom
data_Rb3UCl6
_chemical_formula_sum 'Rb6 U2 Cl12'
_cell_length_a 7.890
_cell_length_b 8.348
_cell_length_c 13.660
_cell_angle_alpha 90.00
_cell_angle_beta 124.22
_cell_angle_gamma 90.00
_space_group_name_H-M_alt 'P 1 21/c 1'
_space_group_IT_number 14
loop_
_space_group_symop_operation_xyz
'x,y,z'
'-x,-y,-z'
'-x,y+1/2,-z+1/2'
'x,-y+1/2,z+1/2'
loop_
_atom_site_label
_atom_site_fract_x
_atom_site_fract_y
_atom_site_fract_z
Rb1 0.000 0.000 0.000
Rb2 0.218 0.068 0.743
U1 0.500 0.000 0.500
Cl1 0.163 0.179 0.445
Cl2 0.254 0.728 0.424
Cl3 0.399 0.059 0.274

Copy entry 3 word for word.
# Rb3UCl8 (GGA-PBE, relaxed)
# * raw total energy: -4.207 eV/atom
# * size of the total moment: 1.0 μB per formula unit
# * Fermi-level density of states: 0.080 states/eV per atom
# * uncorrected formation energy: -1.794 eV per atom
data_Rb3UCl8
_chemical_formula_sum 'Rb6 U2 Cl16'
_cell_length_a 10.0571
_cell_length_b 10.0571
_cell_length_c 9.1052
_cell_angle_alpha 90.00
_cell_angle_beta 90.00
_cell_angle_gamma 120.00
_space_group_name_H-M_alt 'P 63 m c'
_space_group_IT_number 186
_space_group_name_Hall 'P 6c -2c'
loop_
_atom_site_label
_atom_site_fract_x
_atom_site_fract_y
_atom_site_fract_z
Rb1 0.1526 0.3053 0.0000
U1 0.3333 0.6667 0.4272
Cl1 0.0000 0.0000 0.2603
Cl2 0.0498 0.5249 0.3393
Cl3 0.2169 0.4337 0.6043
Cl4 0.3333 0.6667 0.1141